Y2ErSc | GGA-PBE | relaxed

Cell: 3.5127 3.5127 33.5772 Å, 90.00 90.00 120.00°
Closest atoms and distances in Å follow each position.
Fractional positions:
Y 0.0000 0.0000 0.0000  3 Sc 3.36, 6 Y 3.51, 3 Er 3.53
Y 0.0000 0.0000 0.1606  3 Sc 3.39, 6 Y 3.51, 3 Er 3.55
Y 0.3333 0.6667 0.6667  3 Sc 3.36, 6 Y 3.51, 3 Er 3.53
Y 0.3333 0.6667 0.8273  3 Sc 3.39, 6 Y 3.51, 3 Er 3.55
Y 0.6667 0.3333 0.3333  3 Sc 3.36, 6 Y 3.51, 3 Er 3.53
Y 0.6667 0.3333 0.4940  3 Sc 3.39, 6 Y 3.51, 3 Er 3.55
Er 0.0000 0.0000 0.5806  6 Er 3.51, 6 Y 3.53-3.55
Er 0.3333 0.6667 0.2473  6 Er 3.51, 6 Y 3.53-3.55
Er 0.6667 0.3333 0.9140  6 Er 3.51, 6 Y 3.53-3.55
Sc 0.0000 0.0000 0.7465  6 Y 3.36-3.39, 6 Sc 3.51
Sc 0.3333 0.6667 0.4132  6 Y 3.36-3.39, 6 Sc 3.51
Sc 0.6667 0.3333 0.0799  6 Y 3.36-3.39, 6 Sc 3.51

Computed properties:
excess energy over the best structure of this formula in the dataset: 16 meV per atom
total magnetization: 0.00 μB/f.u.
mass density: 5.42 g/cm3
formation energy from the elements: 37 meV per atom
total energy: -71.02 eV/cell